## LaTeAsBr2 (PBE-GGA)

Data for crystalline LaTeAsBr2 at its relaxed geometry.

## Properties
E above lowest polymorph: 361 meV per atom
M_tot: 0.32 μB/f.u.
Formation energy without anion corrections: -123 meV per atom
Crystal system: tetragonal

Unit cell a=5.510 b=5.510 c=5.644 alpha=90.00 beta=90.00 gamma=90.00
Last column: magnetic moment on the atom in μB.
Positions (direct):
As1 0.000 0.000 0.500  -0.01
Br1 0.500 0.000 0.000  0.00
Br2 0.000 0.500 0.000  0.00
Te1 0.000 0.000 0.000  0.01
La1 0.500 0.500 0.500  0.27